# 1
First-principles (PBE) data for a relaxed RbTe2Se6 crystal, as listed in Alexandria via LeMat-Bulk.

Cell lengths 6.0549, 7.6985, 7.6978 Å; angles 120.09, 90.25, 90.30 degrees
Sites, in units of the cell vectors:
Se (0.8182, 0.9995, 0.5628)
Se (0.8176, 0.4364, 0.4364)
Rb (0.0000, 0.0000, 0.0000)
Se (0.1824, 0.5636, 0.5636)
Se (0.1818, 0.0005, 0.4372)
Te (0.5000, 0.3334, 0.6665)
Te (0.5000, 0.6666, 0.3335)
Se (0.1817, 0.4372, 0.0005)
Se (0.8183, 0.5628, 0.9996)

## Properties
**Total magnetic moment**: 0.0 μB/cell
**Electronic total energy**: -3.203 eV per atom
**Formation energy (no corrections)**: -0.07 eV/atom
**Density of states at the Fermi level**: 6.4 states/eV/f.u.

---

# 2
First-principles (PBE) data for a relaxed RbTe3Se crystal, as listed in Alexandria via LeMat-Bulk.

Cell lengths 5.6624, 5.6624, 5.6624 Å; angles 90.00, 90.00, 90.00 degrees
Sites, in units of the cell vectors:
Te (0.0000, 0.5000, 0.0000)
Rb (0.5000, 0.5000, 0.5000)
Se (0.0000, 0.0000, 0.0000)
Te (0.5000, 0.0000, 0.0000)
Te (0.0000, 0.0000, 0.5000)

## Properties
**Total magnetic moment**: 0.0 μB/cell
**Electronic total energy**: -2.874 eV per atom
**Formation energy (no corrections)**: -0.10 eV/atom
**Density of states at the Fermi level**: 4.4 states/eV/f.u.
**Energy above the most stable polymorph in this dataset**: 239 meV/atom

---

# 3
First-principles (PBE) data for a relaxed RbTe3Se crystal, as listed in Alexandria via LeMat-Bulk.

Cell lengths 6.7470, 7.1152, 9.6144 Å; angles 111.31, 102.54, 88.86 degrees
Sites, in units of the cell vectors:
Te (0.9421, 0.2993, 0.4756)
Te (0.0239, 0.9719, 0.6194)
Se (0.8850, 0.6998, 0.3142)
Te (0.0966, 0.6466, 0.7703)
Rb (0.9313, 0.1931, 0.0603)
Rb (0.5199, 0.7085, 0.5869)
Te (0.4274, 0.9296, 0.0279)
Te (0.5091, 0.6023, 0.1716)
Se (0.5662, 0.2018, 0.3331)
Te (0.3547, 0.2549, 0.8769)

## Properties
**Total magnetic moment**: 0.0 μB/cell
**Electronic total energy**: -3.113 eV per atom
**Formation energy (no corrections)**: -0.34 eV/atom
**Density of states at the Fermi level**: 1.6 states/eV/f.u.
**Energy above the most stable polymorph in this dataset**: 0 meV/atom

---

# 4
First-principles (PBE) data for a relaxed Rb5Te2Se5 crystal, as listed in Alexandria via LeMat-Bulk.

Cell lengths 5.3488, 6.0406, 14.9143 Å; angles 102.44, 90.00, 116.28 degrees
Sites, in units of the cell vectors:
Te (0.9617, 0.9234, 0.7907)
Rb (0.6879, 0.3758, 0.0668)
Se (0.1198, 0.2397, 0.3962)
Rb (0.2184, 0.4367, 0.6581)
Se (0.4456, 0.8911, 0.2019)
Rb (0.5000, 0.0000, 0.5000)
Se (0.0000, 0.0000, 0.0000)
Se (0.5544, 0.1089, 0.7981)
Te (0.0383, 0.0766, 0.2093)
Rb (0.3121, 0.6242, 0.9332)
Se (0.8802, 0.7603, 0.6038)
Rb (0.7816, 0.5633, 0.3419)

## Properties
**Total magnetic moment**: 0.0 μB/cell
**Electronic total energy**: -3.134 eV per atom
**Formation energy (no corrections)**: -0.76 eV/atom
**Density of states at the Fermi level**: 3.5 states/eV/f.u.

---

# 5
First-principles (PBE) data for a relaxed RbTeSe2 crystal, as listed in Alexandria via LeMat-Bulk.

Cell lengths 5.7753, 7.9300, 8.2442 Å; angles 90.00, 110.50, 90.00 degrees
Sites, in units of the cell vectors:
Rb (0.6841, 0.7500, 0.3683)
Se (0.1256, 0.9989, 0.2512)
Rb (0.3159, 0.2500, 0.6317)
Te (0.9896, 0.7500, 0.9792)
Se (0.1256, 0.5011, 0.2512)
Se (0.8744, 0.4989, 0.7488)
Te (0.0104, 0.2500, 0.0208)
Se (0.8744, 0.0011, 0.7488)

## Properties
**Total magnetic moment**: 0.0 μB/cell
**Electronic total energy**: -3.251 eV per atom
**Formation energy (no corrections)**: -0.48 eV/atom
**Density of states at the Fermi level**: 2.0 states/eV/f.u.

---

# 6
First-principles (PBE) data for a relaxed Rb2Te2Se3 crystal, as listed in Alexandria via LeMat-Bulk.

Cell lengths 4.8036, 7.4120, 8.5579 Å; angles 107.76, 106.30, 90.00 degrees
Sites, in units of the cell vectors:
Te (0.8598, 0.6390, 0.7196)
Te (0.1402, 0.3610, 0.2804)
Rb (0.3964, 0.1690, 0.7928)
Rb (0.6036, 0.8310, 0.2072)
Se (0.7607, 0.3000, 0.5214)
Se (0.2393, 0.7000, 0.4786)
Se (0.0000, 0.0000, 0.0000)

## Properties
**Total magnetic moment**: 0.0 μB/cell
**Electronic total energy**: -3.152 eV per atom
**Formation energy (no corrections)**: -0.48 eV/atom
**Density of states at the Fermi level**: 1.2 states/eV/f.u.
**Energy above the most stable polymorph in this dataset**: 94 meV/atom

---

# 7
First-principles (PBE) data for a relaxed RbTe3Se crystal, as listed in Alexandria via LeMat-Bulk.

Cell lengths 6.8015, 6.8015, 6.8015 Å; angles 90.00, 90.00, 90.00 degrees
Each line ends with the local moment (μB).
Sites, in units of the cell vectors:
Te (0.0000, 0.5000, 0.0000)  0.85
Te (0.0000, 0.0000, 0.5000)  0.96
Se (0.5000, 0.5000, 0.5000)  1.13
Rb (0.0000, 0.0000, 0.0000)  0.03
Te (0.5000, 0.0000, 0.0000)  0.77

## Properties
**Total magnetic moment**: 7.0 μB/cell
**Electronic total energy**: -1.626 eV per atom
**Formation energy (no corrections)**: 1.15 eV/atom
**Density of states at the Fermi level**: 10.3 states/eV/f.u.
**Energy above the most stable polymorph in this dataset**: 1487 meV/atom

---

# 8
First-principles (PBE) data for a relaxed RbTeSe2 crystal, as listed in Alexandria via LeMat-Bulk.

Cell lengths 4.5090, 4.5090, 8.0700 Å; angles 73.78, 73.78, 60.00 degrees
Sites, in units of the cell vectors:
Rb (0.4983, 0.4983, 0.5050)
Se (0.0608, 0.0608, 0.8176)
Se (0.2734, 0.2734, 0.1799)
Te (0.6675, 0.6675, 0.9975)

## Properties
**Total magnetic moment**: 0.0 μB/cell
**Electronic total energy**: -3.154 eV per atom
**Formation energy (no corrections)**: -0.38 eV/atom
**Density of states at the Fermi level**: 2.2 states/eV/f.u.

---

# 9
First-principles (PBE) data for a relaxed Rb3TeSe4 crystal, as listed in Alexandria via LeMat-Bulk.

Cell lengths 7.7790, 7.7790, 7.7790 Å; angles 90.95, 118.72, 120.19 degrees
Sites, in units of the cell vectors:
Rb (0.9756, 0.0000, 0.9756)
Se (0.1790, 0.8227, 0.3563)
Rb (0.5809, 0.7496, 0.3305)
Se (0.5335, 0.1773, 0.3563)
Se (0.1604, 0.3068, 0.4671)
Se (0.1604, 0.6932, 0.8536)
Te (0.9803, 0.5000, 0.4803)
Rb (0.5809, 0.2504, 0.8313)

## Properties
**Total magnetic moment**: 0.0 μB/cell
**Electronic total energy**: -3.124 eV per atom
**Formation energy (no corrections)**: -0.63 eV/atom
**Density of states at the Fermi level**: 2.5 states/eV/f.u.
**Energy above the most stable polymorph in this dataset**: 122 meV/atom

---

# 10
First-principles (PBE) data for a relaxed Rb2Te2Se3 crystal, as listed in Alexandria via LeMat-Bulk.

Cell lengths 5.0014, 7.3471, 7.9748 Å; angles 99.66, 108.27, 90.00 degrees
Sites, in units of the cell vectors:
Rb (0.3538, 0.2950, 0.7077)
Te (0.0885, 0.1975, 0.1771)
Te (0.9115, 0.8025, 0.8229)
Se (0.6593, 0.2065, 0.3186)
Se (0.0000, 0.5000, 0.0000)
Rb (0.6462, 0.7050, 0.2923)
Se (0.3407, 0.7935, 0.6814)

## Properties
**Total magnetic moment**: 0.0 μB/cell
**Electronic total energy**: -3.247 eV per atom
**Formation energy (no corrections)**: -0.58 eV/atom
**Density of states at the Fermi level**: 1.8 states/eV/f.u.
**Energy above the most stable polymorph in this dataset**: 0 meV/atom

---

# 11
First-principles (PBE) data for a relaxed Rb5TeSe6 crystal, as listed in Alexandria via LeMat-Bulk.

Cell lengths 8.2185, 8.5041, 8.4032 Å; angles 59.60, 79.46, 68.80 degrees
Each line ends with the local moment (μB).
Sites, in units of the cell vectors:
Se (0.7945, 0.0670, 0.2668)  0.18
Rb (0.5000, 0.8284, 0.3433)  0.01
Se (0.7945, 0.3339, 0.7332)  0.18
Se (0.2055, 0.6661, 0.2668)  0.18
Rb (0.0000, 0.6658, 0.6684)  0.01
Rb (0.5000, 0.1716, 0.6567)  0.01
Se (0.2055, 0.9330, 0.7332)  0.18
Te (0.0000, 0.0000, 0.0000)  0.02
Rb (0.5000, 0.5000, 0.0000)  0.01
Se (0.7999, 0.8101, 0.0000)  0.20
Rb (0.0000, 0.3342, 0.3316)  0.01
Se (0.2001, 0.1899, 0.0000)  0.20

## Properties
**Total magnetic moment**: 2.0 μB/cell
**Electronic total energy**: -3.008 eV per atom
**Formation energy (no corrections)**: -0.60 eV/atom
**Density of states at the Fermi level**: 15.0 states/eV/f.u.

---

# 12
First-principles (PBE) data for a relaxed Rb2TeSe crystal, as listed in Alexandria via LeMat-Bulk.

Cell lengths 6.0523, 6.0523, 6.0523 Å; angles 60.00, 60.00, 60.00 degrees
Each line ends with the local moment (μB).
Sites, in units of the cell vectors:
Rb (0.7500, 0.7500, 0.7500)  0.01
Te (0.5000, 0.5000, 0.5000)  0.51
Rb (0.2500, 0.2500, 0.2500)  0.01
Se (0.0000, 0.0000, 0.0000)  0.59

## Properties
**Total magnetic moment**: 2.0 μB/cell
**Electronic total energy**: -2.684 eV per atom
**Formation energy (no corrections)**: -0.54 eV/atom
**Density of states at the Fermi level**: 2.7 states/eV/f.u.
**Energy above the most stable polymorph in this dataset**: 356 meV/atom

---

# 13
First-principles (PBE) data for a relaxed RbTeSe3 crystal, as listed in Alexandria via LeMat-Bulk.

Cell lengths 6.3603, 6.3603, 6.3603 Å; angles 90.00, 90.00, 90.00 degrees
Each line ends with the local moment (μB).
Sites, in units of the cell vectors:
Rb (0.0000, 0.0000, 0.0000)  0.04
Te (0.5000, 0.5000, 0.5000)  1.11
Se (0.5000, 0.0000, 0.0000)  0.82
Se (0.0000, 0.5000, 0.0000)  0.95
Se (0.0000, 0.0000, 0.5000)  1.08

## Properties
**Total magnetic moment**: 7.0 μB/cell
**Electronic total energy**: -1.801 eV per atom
**Formation energy (no corrections)**: 1.11 eV/atom
**Density of states at the Fermi level**: 7.5 states/eV/f.u.

---

# 14
First-principles (PBE) data for a relaxed RbTe2Se crystal, as listed in Alexandria via LeMat-Bulk.

Cell lengths 7.3399, 7.3399, 9.1079 Å; angles 66.24, 66.24, 90.00 degrees
Sites, in units of the cell vectors:
Se (0.2500, 0.7500, 0.5000)
Te (0.8750, 0.7533, 0.7500)
Rb (0.7500, 0.2500, 0.5000)
Te (0.3750, 0.4967, 0.7500)
Te (0.5033, 0.1250, 0.2500)
Rb (0.0000, 0.0000, 0.0000)
Te (0.2467, 0.6250, 0.2500)
Se (0.5000, 0.5000, 0.0000)

## Properties
**Total magnetic moment**: 0.0 μB/cell
**Electronic total energy**: -2.885 eV per atom
**Formation energy (no corrections)**: -0.20 eV/atom
**Density of states at the Fermi level**: 2.6 states/eV/f.u.

---

# 15
First-principles (PBE) data for a relaxed RbTeSe2 crystal, as listed in Alexandria via LeMat-Bulk.

Cell lengths 9.7286, 9.7286, 9.7286 Å; angles 26.28, 26.28, 26.28 degrees
Sites, in units of the cell vectors:
Se (0.1169, 0.1169, 0.1169)
Rb (0.0000, 0.0000, 0.0000)
Se (0.8831, 0.8831, 0.8831)
Te (0.5000, 0.5000, 0.5000)

## Properties
**Total magnetic moment**: 0.0 μB/cell
**Electronic total energy**: -2.946 eV per atom
**Formation energy (no corrections)**: -0.18 eV/atom
**Density of states at the Fermi level**: 2.0 states/eV/f.u.

---

# 16
First-principles (PBE) data for a relaxed RbTeSe3 crystal, as listed in Alexandria via LeMat-Bulk.

Cell lengths 5.4862, 5.4862, 5.4862 Å; angles 90.00, 90.00, 90.00 degrees
Sites, in units of the cell vectors:
Te (0.0000, 0.0000, 0.0000)
Se (0.5000, 0.0000, 0.0000)
Rb (0.5000, 0.5000, 0.5000)
Se (0.0000, 0.5000, 0.0000)
Se (0.0000, 0.0000, 0.5000)

## Properties
**Total magnetic moment**: 0.0 μB/cell
**Electronic total energy**: -3.133 eV per atom
**Formation energy (no corrections)**: -0.22 eV/atom
**Density of states at the Fermi level**: 4.1 states/eV/f.u.

---

# 17
First-principles (PBE) data for a relaxed Rb2TeSe crystal, as listed in Alexandria via LeMat-Bulk.

Cell lengths 6.6939, 9.5762, 9.9224 Å; angles 90.00, 90.00, 90.00 degrees
Sites, in units of the cell vectors:
Te (0.2545, 0.3753, 0.7500)
Se (0.9975, 0.6269, 0.7500)
Se (0.5025, 0.1269, 0.7500)
Se (0.4975, 0.8731, 0.2500)
Rb (0.2479, 0.6243, 0.0486)
Se (0.0025, 0.3731, 0.2500)
Rb (0.7521, 0.3757, 0.9514)
Te (0.7455, 0.6247, 0.2500)
Rb (0.7521, 0.3757, 0.5486)
Te (0.7545, 0.1247, 0.2500)
Te (0.2455, 0.8753, 0.7500)
Rb (0.2521, 0.1243, 0.0486)
Rb (0.2479, 0.6243, 0.4514)
Rb (0.7479, 0.8757, 0.5486)
Rb (0.2521, 0.1243, 0.4514)
Rb (0.7479, 0.8757, 0.9514)

## Properties
**Total magnetic moment**: 0.0 μB/cell
**Electronic total energy**: -3.040 eV per atom
**Formation energy (no corrections)**: -0.90 eV/atom
**Energy above the most stable polymorph in this dataset**: 0 meV/atom

---

# 18
First-principles (PBE) data for a relaxed Rb2TeSe3 crystal, as listed in Alexandria via LeMat-Bulk.

Cell lengths 7.1412, 7.1412, 10.7656 Å; angles 96.54, 101.02, 122.68 degrees
Sites, in units of the cell vectors:
Se (0.0496, 0.7996, 0.2500)
Se (0.4841, 0.1548, 0.9828)
Rb (0.2810, 0.0171, 0.6087)
Rb (0.7190, 0.9829, 0.3913)
Se (0.5159, 0.8452, 0.0172)
Te (0.3237, 0.5737, 0.7500)
Se (0.3280, 0.4988, 0.4828)
Rb (0.9084, 0.6723, 0.8913)
Rb (0.0916, 0.3277, 0.1087)
Te (0.6763, 0.4263, 0.2500)
Se (0.9504, 0.2004, 0.7500)
Se (0.6720, 0.5012, 0.5172)

## Properties
**Total magnetic moment**: 0.0 μB/cell
**Electronic total energy**: -3.248 eV per atom
**Formation energy (no corrections)**: -0.66 eV/atom
**Energy above the most stable polymorph in this dataset**: 0 meV/atom

---

# 19
First-principles (PBE) data for a relaxed RbTeSe2 crystal, as listed in Alexandria via LeMat-Bulk.

Cell lengths 8.7118, 7.0535, 7.0535 Å; angles 95.69, 113.77, 113.77 degrees
Sites, in units of the cell vectors:
Se (0.2664, 0.7032, 0.8919)
Te (0.7500, 0.9535, 0.0465)
Rb (0.2500, 0.6246, 0.3754)
Rb (0.7500, 0.3754, 0.6246)
Te (0.2500, 0.0465, 0.9535)
Se (0.7336, 0.2968, 0.1081)
Se (0.2336, 0.1081, 0.2968)
Se (0.7664, 0.8919, 0.7032)

## Properties
**Total magnetic moment**: 0.0 μB/cell
**Electronic total energy**: -3.296 eV per atom
**Formation energy (no corrections)**: -0.53 eV/atom
**Density of states at the Fermi level**: 0.0 states/eV/f.u.

---

# 20
First-principles (PBE) data for a relaxed RbTeSe3 crystal, as listed in Alexandria via LeMat-Bulk.

Cell lengths 7.2770, 7.2770, 7.2770 Å; angles 73.82, 73.82, 73.82 degrees
Sites, in units of the cell vectors:
Se (0.1171, 0.7918, 0.3073)
Se (0.2918, 0.6171, 0.8073)
Se (0.3073, 0.1171, 0.7918)
Se (0.8073, 0.2918, 0.6171)
Rb (0.7549, 0.7549, 0.7549)
Se (0.6171, 0.8073, 0.2918)
Rb (0.2549, 0.2549, 0.2549)
Te (0.5004, 0.5004, 0.5004)
Se (0.7918, 0.3073, 0.1171)
Te (0.0004, 0.0004, 0.0004)

## Properties
**Total magnetic moment**: 0.0 μB/cell
**Electronic total energy**: -3.169 eV per atom
**Formation energy (no corrections)**: -0.26 eV/atom
**Density of states at the Fermi level**: 3.9 states/eV/f.u.